(1)
## BaTiV2O8 (PBE with a Hubbard U)

Data for a relaxed structure of BaTiV2O8.

a = 5.5909 Å, b = 5.5909 Å, c = 7.2208 Å
α = 90.00°, β = 90.00°, γ = 120.00°
Closest atoms and distances in Å follow each position.
Fractional positions:
Ba  0.0000  0.0000  0.0000  6 O 2.87
Ti  0.0000  0.0000  0.5000  6 O 1.96
V  0.3333  0.6667  0.7379  4 O 1.68-1.76
V  0.6667  0.3333  0.2621  4 O 1.68-1.76
O  0.1599  0.3197  0.6657  1 V 1.76, 1 Ti 1.96
O  0.1599  0.8401  0.6657  1 V 1.76, 1 Ti 1.96
O  0.3197  0.1599  0.3343  1 V 1.76, 1 Ti 1.96
O  0.3333  0.6667  0.9703  1 V 1.68
O  0.6667  0.3333  0.0297  1 V 1.68
O  0.6803  0.8401  0.6657  1 V 1.76, 1 Ti 1.96
O  0.8401  0.1599  0.3343  1 V 1.76, 1 Ti 1.96
O  0.8401  0.6803  0.3343  1 V 1.76, 1 Ti 1.96

Output
**Spin magnetization**: 0.00 μB per cell
**D(E_F)**: 0.0 states/eV per cell



(2)
## BaTiWO6 (PBE with a Hubbard U)

Data for a relaxed structure of BaTiWO6.

a = 5.1113 Å, b = 5.1113 Å, c = 9.7697 Å
α = 90.00°, β = 90.00°, γ = 90.00°
Closest atoms and distances in Å follow each position.
Fractional positions:
Ba  0.0000  0.0000  0.0000  4 O 2.47-2.70
Ba  0.5000  0.5000  0.5000  4 O 2.47-2.70
Ti  0.0000  0.0000  0.3310  4 O 1.93-1.98
Ti  0.5000  0.5000  0.8310  4 O 1.93-1.98
W  0.0000  0.0000  0.6598  6 O 1.88-2.10
W  0.5000  0.5000  0.1598  6 O 1.88-2.10
O  0.1581  0.1581  0.4960  1 W 1.97, 1 Ti 1.98
O  0.2438  0.2438  0.7759  1 Ti 1.93, 1 W 2.10
O  0.2482  0.2482  0.2067  1 W 1.88
O  0.2518  0.7482  0.7067  1 W 1.88
O  0.2562  0.7438  0.2759  1 Ti 1.93, 1 W 2.10
O  0.3419  0.6581  0.9960  1 W 1.97, 1 Ti 1.98
O  0.6581  0.3419  0.9960  1 W 1.97, 1 Ti 1.98
O  0.7438  0.2562  0.2759  1 Ti 1.93, 1 W 2.10
O  0.7482  0.2518  0.7067  1 W 1.88
O  0.7518  0.7518  0.2067  1 W 1.88
O  0.7562  0.7562  0.7759  1 Ti 1.93, 1 W 2.10
O  0.8419  0.8419  0.4960  1 W 1.97, 1 Ti 1.98

Output
**Spin magnetization**: 0.00 μB per cell
**D(E_F)**: 0.0 states/eV per cell



(3)
## Ba3TiZnWO9 (PBE with a Hubbard U)

Data for a relaxed structure of Ba3TiZnWO9.

a = 5.8893 Å, b = 5.8893 Å, c = 14.4289 Å
α = 90.00°, β = 90.00°, γ = 120.00°
Closest atoms and distances in Å follow each position.
Fractional positions:
Ba  0.0000  0.0000  0.0000  12 O 2.91-3.00
Ba  0.0000  0.0000  0.5000  12 O 2.91-3.00
Ba  0.3333  0.6667  0.1486  12 O 2.93-3.11
Ba  0.3333  0.6667  0.8376  12 O 2.91-3.03
Ba  0.6667  0.3333  0.3376  12 O 2.91-3.03
Ba  0.6667  0.3333  0.6486  12 O 2.93-3.11
Ti  0.3333  0.6667  0.6029  3 O 1.85
Ti  0.6667  0.3333  0.1029  3 O 1.85
Zn  0.0000  0.0000  0.2421  6 O 2.11-2.20
Zn  0.0000  0.0000  0.7421  6 O 2.11-2.20
W  0.3333  0.6667  0.4028  6 O 1.92-2.00
W  0.6667  0.3333  0.9028  6 O 1.92-2.00
O  0.0343  0.5171  0.4922  1 W 2.00, 1 Ti 2.21
O  0.1720  0.3440  0.6610  1 Ti 1.85
O  0.1720  0.8280  0.6610  1 Ti 1.85
O  0.1738  0.3475  0.3320  1 W 1.92
O  0.1738  0.8262  0.3320  1 W 1.92
O  0.3440  0.1720  0.1610  1 Ti 1.85
O  0.3475  0.1738  0.8320  1 W 1.92
O  0.4829  0.5171  0.4922  1 W 2.00, 1 Ti 2.21
O  0.4829  0.9657  0.4922  1 W 2.00, 1 Ti 2.21
O  0.5171  0.0343  0.9922  1 W 2.00, 1 Ti 2.21
O  0.5171  0.4829  0.9922  1 W 2.00, 1 Ti 2.21
O  0.6525  0.8262  0.3320  1 W 1.92
O  0.6560  0.8280  0.6610  1 Ti 1.85
O  0.8262  0.1738  0.8320  1 W 1.92
O  0.8262  0.6525  0.8320  1 W 1.92
O  0.8280  0.1720  0.1610  1 Ti 1.85
O  0.8280  0.6560  0.1610  1 Ti 1.85
O  0.9657  0.4829  0.9922  1 W 2.00, 1 Ti 2.21

Output
**Spin magnetization**: 0.00 μB per cell
**D(E_F)**: 0.0 states/eV per cell



| no. | E_tot (eV/cell) |
| --- | --- |
| 1 | -93.7 |
| 2 | -137.1 |
| 3 | -211.4 |